The following is a PBEsol calculation of a relaxed Ir2SeBr crystal, from Alexandria via LeMat-Bulk.

abc: 5.2081 5.2081 5.2081
angles: 137.21 137.21 62.12
Fractional coordinates of all 4 atoms:
Ir 0.0000 0.0000 0.0000
Ir 0.7500 0.2500 0.5000
Se 0.5000 0.5000 0.0000
Br 0.2500 0.7500 0.5000

Polymorph energy (0 for the lowest one) (eV per atom): 0.412
Formation energy without anion corrections (kJ/mol of formula units): 391
Total moment (μB per formula unit): 0.0
Crystal system: tetragonal